# 1
Below is a relaxed structure of LaCoSb2, with properties calculated at the PBE level.

abc: 4.1715 4.1715 19.3456
angles: 90.00 90.00 120.00
Space group R3m (No. 160, hexagonal axes)
Symmetry-distinct sites (fractional):
La 0.0000 0.0000 0.0000 x3
Co 0.0000 0.0000 0.8209 x3
Sb 0.0000 0.0000 0.2154 x3
Sb 0.0000 0.0000 0.4389 x3

- Raw formation energy: -0.518 eV/atom
- ΔE to the lowest computed polymorph: 3.657 kcal/mol of atoms
- Energy: -5.59 eV/atom



# 2
Below is a relaxed structure of LaCoSb2, with properties calculated at the PBE level.

abc: 3.405 5.832 9.717
angles: 90.00 90.00 90.00
Space group Immm (No. 71)
Symmetry-distinct sites (fractional):
La 0.000 0.000 0.000 x2
Co 0.000 0.000 0.500 x2
Sb 0.000 0.500 0.194 x4

- Raw formation energy: -0.290 eV/atom
- ΔE to the lowest computed polymorph: 8.920 kcal/mol of atoms
- Energy: -5.36 eV/atom